The following is a DFT calculation (PBE-GGA) of an optimized crystal structure of Ti4Mo2Rh.

The space group is I4/mmm (No. 139) and the conventional cell measures 6.1799, 6.1799 and 6.2468 Å, with angles of 90.00, 90.00 and 90.00 degrees. The inequivalent atoms are Ti at (0.2500, 0.2500, 0.2500), Mo at (0.0000, 0.5000, 0.0000) and Rh at (0.0000, 0.0000, 0.0000).

The formation energy is -0.72 eV/f.u.

=====

The following is a DFT calculation (PBE-GGA) of an optimized crystal structure of Pm2ZnP3Pd4.

The space group is P-4m2 (No. 115) and the conventional cell measures 4.1508, 4.1508 and 10.2784 Å, with angles of 90.00, 90.00 and 90.00 degrees. The inequivalent atoms are Pm at (0.0000, 0.5000, 0.2399), Zn at (0.0000, 0.0000, 0.5000), P at (0.0000, 0.5000, 0.8630), P at (0.5000, 0.5000, 0.5000), Pd at (0.0000, 0.0000, 0.0000), Pd at (0.0000, 0.5000, 0.6347) and Pd at (0.5000, 0.5000, 0.0000).

The formation energy is -9.00 eV/f.u.

=====

The following is a DFT calculation (PBE-GGA) of an optimized crystal structure of Ba2LiInPd.

The space group is P4/mmm (No. 123) and the conventional cell measures 6.1638, 6.1638 and 5.2728 Å, with angles of 90.00, 90.00 and 90.00 degrees. The inequivalent atoms are Ba at (0.0000, 0.5000, 0.0000), Li at (0.0000, 0.0000, 0.5000), In at (0.5000, 0.5000, 0.5000) and Pd at (0.5000, 0.5000, 0.0000).

The formation energy is -1.36 eV/f.u.

=====

The following is a DFT calculation (PBE-GGA) of an optimized crystal structure of AlSeCl2.

The space group is Cmmm (No. 65) and the conventional cell measures 3.1257, 5.9978 and 10.2566 Å, with angles of 90.00, 90.00 and 90.00 degrees. The inequivalent atoms are Al at (0.0000, 0.0000, 0.0000), Se at (0.0000, 0.0000, 0.5000) and Cl at (0.0000, 0.5000, 0.1673).

The uncorrected formation energy comes out at -223 meV/atom.

=====

The following is a DFT calculation (PBE-GGA) of an optimized crystal structure of TaCu2Pt.

The space group is F-43m (No. 216) and the conventional cell measures 6.1674, 6.1674 and 6.1674 Å, with angles of 90.00, 90.00 and 90.00 degrees. The inequivalent atoms are Ta at (0.0000, 0.0000, 0.0000), Cu at (0.0000, 0.0000, 0.5000), Cu at (0.2500, 0.2500, 0.7500) and Pt at (0.2500, 0.2500, 0.2500).

The formation energy is -0.74 eV/f.u.

=====

The following is a DFT calculation (PBE-GGA) of an optimized crystal structure of Nd2AuI.

The space group is P4/mmm (No. 123) and the conventional cell measures 3.6642, 3.6642 and 8.4815 Å, with angles of 90.00, 90.00 and 90.00 degrees. The inequivalent atoms are Nd at (0.0000, 0.0000, 0.2230), Au at (0.5000, 0.5000, 0.0000) and I at (0.5000, 0.5000, 0.5000).

The uncorrected formation energy comes out at -731 meV/atom.

=====

The following is a DFT calculation (PBE-GGA) of an optimized crystal structure of IrRuSe2.

The space group is I-4m2 (No. 119) and the conventional cell measures 3.7887, 3.7887 and 8.8800 Å, with angles of 90.00, 90.00 and 90.00 degrees. The inequivalent atoms are Ir at (0.0000, 0.0000, 0.0000), Ru at (0.0000, 0.5000, 0.7500), Se at (0.0000, 0.0000, 0.5000) and Se at (0.0000, 0.5000, 0.2500).

The uncorrected formation energy comes out at 588 meV/atom.

=====

The following is a DFT calculation (PBE-GGA) of an optimized crystal structure of CuGeAsBr2.

The space group is P4/mmm (No. 123) and the conventional cell measures 5.2468, 5.2468 and 5.2455 Å, with angles of 90.00, 90.00 and 90.00 degrees. The inequivalent atoms are Cu at (0.0000, 0.0000, 0.0000), Ge at (0.5000, 0.5000, 0.5000), As at (0.5000, 0.5000, 0.0000) and Br at (0.0000, 0.5000, 0.5000).

The uncorrected formation energy comes out at 578 meV/atom.

=====

Repeat the seventh record exactly.
The following is a DFT calculation (PBE-GGA) of an optimized crystal structure of IrRuSe2.

The space group is I-4m2 (No. 119) and the conventional cell measures 3.7887, 3.7887 and 8.8800 Å, with angles of 90.00, 90.00 and 90.00 degrees. The inequivalent atoms are Ir at (0.0000, 0.0000, 0.0000), Ru at (0.0000, 0.5000, 0.7500), Se at (0.0000, 0.0000, 0.5000) and Se at (0.0000, 0.5000, 0.2500).

The uncorrected formation energy comes out at 588 meV/atom.

=====

> Number 6 is which compound?

Nd2AuI

=====

What did the sixth record say?
The following is a DFT calculation (PBE-GGA) of an optimized crystal structure of Nd2AuI.

The space group is P4/mmm (No. 123) and the conventional cell measures 3.6642, 3.6642 and 8.4815 Å, with angles of 90.00, 90.00 and 90.00 degrees. The inequivalent atoms are Nd at (0.0000, 0.0000, 0.2230), Au at (0.5000, 0.5000, 0.0000) and I at (0.5000, 0.5000, 0.5000).

The uncorrected formation energy comes out at -731 meV/atom.

=====

Repeat the fifth record exactly.
The following is a DFT calculation (PBE-GGA) of an optimized crystal structure of TaCu2Pt.

The space group is F-43m (No. 216) and the conventional cell measures 6.1674, 6.1674 and 6.1674 Å, with angles of 90.00, 90.00 and 90.00 degrees. The inequivalent atoms are Ta at (0.0000, 0.0000, 0.0000), Cu at (0.0000, 0.0000, 0.5000), Cu at (0.2500, 0.2500, 0.7500) and Pt at (0.2500, 0.2500, 0.2500).

The formation energy is -0.74 eV/f.u.